# 1
A plane-wave DFT calculation with PBE was carried out for a relaxed structure of Ho4BiP2.

Structure (POSCAR):
```
Ho4BiP2
1.0
4.105 0.000 0.000
-2.053 6.569 0.000
0.000 0.000 13.503
Ho Bi P
8 2 4
direct
0.762 0.524 0.115
0.762 0.524 0.385
0.238 0.476 0.885
0.238 0.476 0.615
0.932 0.863 0.750
0.068 0.137 0.250
0.500 0.000 0.000
0.500 0.000 0.500
0.608 0.217 0.750
0.392 0.783 0.250
0.134 0.267 0.442
0.866 0.733 0.942
0.134 0.267 0.058
0.866 0.733 0.558
```

---

# 2
A plane-wave DFT calculation with PBE was carried out for a relaxed structure of TbHoAlCd.

ΔE to the lowest computed polymorph   0.000 eV per atom

Structure (POSCAR):
```
TbHoAlCd
1.0
-1.969 -0.940 -2.907
2.602 -2.327 -1.010
-3.304 -5.427 3.993
Tb Ho Al Cd
1 1 1 1
direct
0.500 0.500 0.119
0.500 0.500 0.596
0.000 0.000 0.360
0.000 0.000 0.853
```

---

# 3
A plane-wave DFT calculation with PBE was carried out for a relaxed structure of HfAlAu.

Structure (POSCAR):
```
HfAlAu
1.0
3.995 0.000 0.000
0.000 3.995 0.000
0.000 0.000 7.045
Hf Au Al
2 2 2
direct
0.000 0.500 0.143
0.500 0.000 0.857
0.000 0.500 0.750
0.500 0.000 0.250
0.000 0.000 0.500
0.500 0.500 0.500
```

---

# 4
A plane-wave DFT calculation with PBE was carried out for a relaxed structure of Dy6Tl6In.

Structure (POSCAR):
```
Dy6Tl6In
1.0
-2.471 -1.792 5.730
6.434 0.120 -0.865
0.245 9.872 3.193
Dy Tl In
6 6 1
direct
0.000 0.000 0.684
0.000 0.000 0.316
0.333 0.667 0.000
0.667 0.333 0.000
0.333 0.667 0.500
0.667 0.333 0.500
0.000 0.500 0.750
0.500 0.000 0.750
0.500 0.500 0.750
0.500 0.000 0.250
0.000 0.500 0.250
0.500 0.500 0.250
0.000 0.000 0.000
```

---

# 5
A plane-wave DFT calculation with PBE was carried out for a relaxed structure of Tm4GeAs3.

Structure (POSCAR):
```
Tm4GeAs3
1.0
5.757 0.000 0.000
0.000 5.757 0.000
0.000 0.000 5.757
Ge Tm As
1 4 3
direct
0.000 0.000 0.000
0.500 0.000 0.000
0.000 0.500 0.000
0.000 0.000 0.500
0.500 0.500 0.500
0.000 0.500 0.500
0.500 0.000 0.500
0.500 0.500 0.000
```

---

# 6
A plane-wave DFT calculation with PBE was carried out for a relaxed structure of Na2Ca2Ni.

ΔE to the lowest computed polymorph   0.027 eV per atom

Structure (POSCAR):
```
Na2Ca2Ni
1.0
3.851 0.000 0.000
0.000 3.851 0.000
1.925 1.925 9.983
Ni Ca Na
1 2 2
direct
0.000 0.000 0.000
0.420 0.420 0.161
0.580 0.580 0.839
0.750 0.250 0.500
0.250 0.750 0.500
```

---

no.,energy of formation from the pure elements (eV/atom)
1,-1.19
2,-0.37
3,-0.45
4,-0.18
5,-1.28
6,0.26